Entry 1:
Computed, not measured: AcPdBr after structural relaxation at the GGA-PBE level of DFT.

Summary:
* V: 33.8 A^3/atom
* offset from the most stable computed form: 0 meV/atom
* ΔE_f (raw): -1.33 eV per atom
* space-group type: R-3m (166)
* size of the total moment: 0.0 μB/f.u.

Unit cell a=4.5589 b=4.5589 c=11.5577 alpha=78.63 beta=78.63 gamma=60.00
Atoms (fractional coordinates):
1 Pd 0.8428 0.8428 0.4717
2 Ac 0.4409 0.4409 0.6774
3 Pd 0.1572 0.1572 0.5283
4 Ac 0.5591 0.5591 0.3226
5 Br 0.2825 0.2825 0.1526
6 Br 0.7175 0.7175 0.8474

=====

Entry 2:
Computed, not measured: Dy4Tm5In after structural relaxation at the GGA-PBE level of DFT.

Summary:
* V: 29.8 A^3/atom
* offset from the most stable computed form: 0 meV/atom
* energy of formation: -8 kJ/mol of atoms
* space-group type: P4/mmm (123)
* size of the total moment: 0.0 μB/f.u.

Unit cell a=3.5161 b=3.5161 c=24.1418 alpha=90.00 beta=90.00 gamma=90.00
Atoms (fractional coordinates):
1 Dy 0.0000 0.0000 0.3967
2 Dy 0.0000 0.0000 0.8102
3 Tm 0.5000 0.5000 0.5000
4 Dy 0.0000 0.0000 0.6033
5 Tm 0.5000 0.5000 0.9129
6 Tm 0.5000 0.5000 0.0871
7 Tm 0.5000 0.5000 0.2938
8 Dy 0.0000 0.0000 0.1898
9 In 0.0000 0.0000 0.0000
10 Tm 0.5000 0.5000 0.7062